# 1
TaNbReH2 | meta-GGA SCAN | PBEsol geometry

Cell and atoms, written as POSCAR:
```
TaNbReH2
1.0
-3.530 -0.838 0.538
0.143 -2.388 -2.780
1.343 -3.618 3.177
Re Ta H Nb
1 1 2 1
direct
0.000 0.000 0.000 Re
0.000 0.000 0.500 Ta
0.000 0.500 0.000 H
0.500 0.000 0.000 H
0.500 0.500 0.500 Nb
```

Computed properties:
total energy = -34.51 eV/atom
mass density = 11.410 g cm⁻³
symmetry = P4/mmm (123)

# 2
AlCd3As | meta-GGA SCAN | PBEsol geometry

Cell and atoms, written as POSCAR:
```
AlCd3As
1.0
-1.685 -4.663 -0.942
0.823 -1.270 4.815
-4.686 1.454 1.184
Cd Al As
3 1 1
direct
0.500 0.000 0.000 Cd
0.000 0.500 0.000 Cd
0.000 0.000 0.500 Cd
0.000 0.000 0.000 Al
0.500 0.500 0.500 As
```

Computed properties:
total energy = -23.20 eV/atom
mass density = 5.673 g cm⁻³
symmetry = Pm-3m (221)

# 3
TiAl2V | meta-GGA SCAN | PBEsol geometry

Cell and atoms, written as POSCAR:
```
TiAl2V
1.0
-2.144 1.558 -0.557
-1.654 -2.033 0.683
-0.074 2.618 7.612
Al Ti V
2 1 1
direct
0.500 0.500 0.260 Al
0.500 0.500 0.740 Al
0.000 0.000 0.000 Ti
0.000 0.000 0.500 V
```

Computed properties:
total energy = -12.60 eV/atom
mass density = 4.296 g cm⁻³
symmetry = P4/mmm (123)

# 4
Mg2ZrAlTl | meta-GGA SCAN | PBEsol geometry

Cell and atoms, written as POSCAR:
```
Mg2ZrAlTl
1.0
-1.255 -3.777 -3.034
4.838 -0.814 -0.989
0.279 -3.504 4.247
Zr Mg Tl Al
1 2 1 1
direct
0.000 0.000 0.500 Zr
0.500 0.000 0.000 Mg
0.000 0.500 0.000 Mg
0.000 0.000 0.000 Tl
0.500 0.500 0.500 Al
```

Computed properties:
total energy = -23.60 eV/atom
mass density = 4.464 g cm⁻³
symmetry = P4/mmm (123)

# 5
ScZn2Ni | meta-GGA SCAN | PBEsol geometry

Cell and atoms, written as POSCAR:
```
ScZn2Ni
1.0
4.317 0.000 0.000
2.159 3.739 0.000
2.159 1.246 3.525
Zn Sc Ni
2 1 1
direct
0.000 0.000 0.000 Zn
0.750 0.750 0.750 Zn
0.500 0.500 0.500 Sc
0.250 0.250 0.250 Ni
```

Computed properties:
total energy = -14.72 eV/atom
mass density = 6.843 g cm⁻³
symmetry = F-43m (216)

# 6
AgP2Pb2 | meta-GGA SCAN | PBEsol geometry

Cell and atoms, written as POSCAR:
```
AgP2Pb2
1.0
3.392 0.000 0.000
0.000 3.392 0.000
-1.696 -1.696 9.341
Ag Pb P
1 2 2
direct
0.000 0.000 0.000 Ag
0.396 0.396 0.791 Pb
0.604 0.604 0.209 Pb
0.250 0.750 0.500 P
0.750 0.250 0.500 P
```

Computed properties:
total energy = -40.46 eV/atom
mass density = 9.029 g cm⁻³
symmetry = I4/mmm (139)

# 7
BaIn | meta-GGA SCAN | PBEsol geometry

Cell and atoms, written as POSCAR:
```
BaIn
1.0
-1.640 -0.138 -4.069
4.722 -0.452 -1.888
0.340 -6.706 2.457
Ba In
2 2
direct
0.149 0.250 0.297 Ba
0.851 0.750 0.703 Ba
0.565 0.750 0.129 In
0.435 0.250 0.871 In
```

Computed properties:
total energy = -37.00 eV/atom
mass density = 5.491 g cm⁻³
symmetry = Cmcm (63)

# 8
Ni2H2W | meta-GGA SCAN | PBEsol geometry

Cell and atoms, written as POSCAR:
```
Ni2H2W
1.0
2.650 0.000 0.000
0.000 2.650 0.000
-1.325 -1.325 5.907
W Ni H
1 2 2
direct
0.000 0.000 0.000 W
0.340 0.340 0.681 Ni
0.660 0.660 0.319 Ni
0.750 0.250 0.500 H
0.250 0.750 0.500 H
```

Computed properties:
total energy = -21.73 eV/atom
mass density = 12.138 g cm⁻³
symmetry = I4/mmm (139)